Record 1
Material: Y2FeTc
Method: DFT, PBEsol
State: optimized geometry

The formation energy comes out at 440 meV per atom. The density of states at the Fermi level comes out at 1.58 states/eV/atom. The calculation puts the uncorrected energy at -32.12 eV per cell.

Cell lengths 4.7084, 4.7084, 4.7084 Å; angles 60.00, 60.00, 60.00 degrees
Last column: nearest neighbours and their distance in Å.
Positions (direct):
Y1 0.0000 0.0000 0.0000  4 Tc 2.88, 4 Y 2.88
Y2 0.2500 0.2500 0.2500  4 Fe 2.88, 4 Y 2.88
Fe1 0.5000 0.5000 0.5000  4 Tc 2.88, 4 Y 2.88
Tc1 0.7500 0.7500 0.7500  4 Y 2.88, 4 Fe 2.88



Record 2
Material: ScFe10Si2
Method: DFT, PBEsol
State: optimized geometry

The uncorrected formation energy is -266 meV per atom. The density of states at the Fermi level comes out at 0.87 states/eV/atom. The calculation puts the uncorrected energy at -111.19 eV per cell.

Cell lengths 6.1702, 6.1702, 6.1702 Å; angles 136.08, 98.51, 97.57 degrees
Last column: nearest neighbours and their distance in Å.
Positions (direct):
Sc1 0.0000 0.0000 0.0000  16 Fe 2.83-3.09, 4 Si 2.97
Fe1 0.0000 0.0000 0.5000  8 Fe 2.31-2.49, 2 Si 2.33
Fe2 0.0000 0.5000 0.0000  8 Fe 2.31-2.49, 2 Si 2.33
Fe3 0.2041 0.5000 0.7041  8 Fe 2.37-2.64, 2 Si 2.49
Fe4 0.3526 0.0000 0.3526  7 Fe 2.37-2.60, 2 Si 2.49
Fe5 0.3609 0.3609 0.0000  5 Fe 2.26-2.49
Fe6 0.5000 0.0000 0.0000  8 Fe 2.31-2.49, 2 Si 2.33
Fe7 0.5000 0.5000 0.5000  8 Fe 2.31-2.49, 2 Si 2.33
Fe8 0.6391 0.6391 0.0000  5 Fe 2.26-2.49
Fe9 0.6474 0.0000 0.6474  7 Fe 2.37-2.60, 2 Si 2.49
Fe10 0.7959 0.5000 0.2959  8 Fe 2.37-2.64, 2 Si 2.49
Si1 0.2306 0.7306 0.5000  10 Fe 2.33-2.54
Si2 0.7694 0.2694 0.5000  10 Fe 2.33-2.54



Record 3
Material: ReNi2Pt
Method: DFT, PBEsol
State: optimized geometry

The formation energy comes out at -40 meV per atom. The density of states at the Fermi level comes out at 0.96 states/eV/atom. The calculation puts the uncorrected energy at -32.77 eV per cell.

Cell lengths 2.6645, 2.6645, 7.0741 Å; angles 90.00, 90.00, 90.00 degrees
Last column: nearest neighbours and their distance in Å.
Positions (direct):
Re1 0.0000 0.0000 0.0000  4 Ni 2.53, 4 Re 2.66, 4 Pt 2.73
Ni1 0.0000 0.0000 0.4619  8 Ni 2.46-2.66, 4 Pt 2.63
Ni2 0.5000 0.5000 0.2392  8 Ni 2.46-2.66, 4 Re 2.53
Pt1 0.5000 0.5000 0.7215  4 Ni 2.63, 4 Pt 2.66, 4 Re 2.73